Record 1
First-principles (PBE) data for crystalline Ru2Pt4Rh5 at its relaxed geometry, as listed in Alexandria via LeMat-Bulk.

Space-group type: No. 10

Unit cell a=6.8118 b=2.7352 c=8.8953 alpha=90.00 beta=95.00 gamma=90.00
With the nearest neighbours (Å) after each atom.
Element x y z (fractional)
1 Ru 0.0655 0.0000 0.1365  3 Ru 2.51-2.74, 2 Rh 2.55-2.57, 6 Pt 2.73-2.78
2 Ru 0.9345 0.0000 0.8635  3 Ru 2.51-2.74, 2 Rh 2.55-2.57, 6 Pt 2.73-2.78
3 Pt 0.1669 0.5000 0.3970  2 Ru 2.73, 3 Pt 2.74-3.04, 8 Rh 2.74-2.95
4 Pt 0.2848 0.5000 0.9406  3 Pt 2.74-3.03, 6 Rh 2.75-2.84, 4 Ru 2.76-2.78
5 Pt 0.7152 0.5000 0.0594  3 Pt 2.74-3.03, 6 Rh 2.75-2.84, 4 Ru 2.76-2.78
6 Pt 0.8331 0.5000 0.6030  2 Ru 2.73, 3 Pt 2.74-3.04, 8 Rh 2.74-2.95
7 Rh 0.1910 0.0000 0.6676  1 Ru 2.57, 4 Rh 2.68-2.74, 6 Pt 2.76-2.81
8 Rh 0.4367 0.0000 0.2056  1 Ru 2.55, 4 Rh 2.62-2.74, 4 Pt 2.75-2.84
9 Rh 0.5000 0.0000 0.5000  6 Rh 2.62-2.74, 4 Pt 2.74
10 Rh 0.5633 0.0000 0.7944  1 Ru 2.55, 4 Rh 2.62-2.74, 4 Pt 2.75-2.84
11 Rh 0.8090 0.0000 0.3324  1 Ru 2.57, 4 Rh 2.68-2.74, 6 Pt 2.76-2.81

---

Record 2
First-principles (PBE) data for crystalline RuPt4Rh4 at its relaxed geometry, as listed in Alexandria via LeMat-Bulk.

Space-group type: No. 139

Unit cell a=6.1675 b=6.1675 c=6.1675 alpha=95.70 beta=95.70 gamma=143.27
With the nearest neighbours (Å) after each atom.
Element x y z (fractional)
1 Ru 0.0000 0.0000 0.0000  4 Pt 2.71, 8 Rh 2.71
2 Pt 0.0000 0.3279 0.3279  1 Ru 2.71, 6 Rh 2.73-2.80, 5 Pt 2.80-2.85
3 Pt 0.0000 0.6721 0.6721  1 Ru 2.71, 6 Rh 2.73-2.80, 5 Pt 2.80-2.85
4 Pt 0.3279 0.0000 0.3279  1 Ru 2.71, 6 Rh 2.73-2.80, 5 Pt 2.80-2.85
5 Pt 0.6721 0.0000 0.6721  1 Ru 2.71, 6 Rh 2.73-2.80, 5 Pt 2.80-2.85
6 Rh 0.3381 0.3381 0.6762  4 Rh 2.68-2.83, 2 Ru 2.71, 6 Pt 2.73-2.80
7 Rh 0.3381 0.6619 0.0000  4 Rh 2.68-2.83, 2 Ru 2.71, 6 Pt 2.73-2.80
8 Rh 0.6619 0.3381 0.0000  4 Rh 2.68-2.83, 2 Ru 2.71, 6 Pt 2.73-2.80
9 Rh 0.6619 0.6619 0.3238  4 Rh 2.68-2.83, 2 Ru 2.71, 6 Pt 2.73-2.80

---

Record 3
First-principles (PBE) data for crystalline Ru2PtRh at its relaxed geometry, as listed in Alexandria via LeMat-Bulk.

E above lowest polymorph: 46 meV/atom
Space-group type: No. 160

Unit cell a=9.0875 b=9.0875 c=9.0875 alpha=17.29 beta=17.29 gamma=17.29
With the nearest neighbours (Å) after each atom.
Element x y z (fractional)
1 Ru 0.0000 0.0000 0.0000  9 Ru 2.63-2.73, 3 Pt 2.81
2 Ru 0.2551 0.2551 0.2551  9 Ru 2.63-2.73, 3 Rh 2.69
3 Pt 0.7532 0.7532 0.7532  6 Pt 2.73, 3 Ru 2.81, 3 Rh 2.83
4 Rh 0.5073 0.5073 0.5073  3 Ru 2.69, 6 Rh 2.73, 3 Pt 2.83

---

Record 4
First-principles (PBE) data for crystalline Ru2Pt5Rh4 at its relaxed geometry, as listed in Alexandria via LeMat-Bulk.

E above lowest polymorph: 0 meV/atom
Space-group type: No. 12

Unit cell a=5.4164 b=5.4164 c=8.0433 alpha=117.44 beta=117.44 gamma=59.61
With the nearest neighbours (Å) after each atom.
Element x y z (fractional)
1 Ru 0.0168 0.0168 0.3511  3 Rh 2.43-2.69, 1 Ru 2.58, 2 Pt 2.70
2 Ru 0.9832 0.9832 0.6489  3 Rh 2.43-2.69, 1 Ru 2.58, 2 Pt 2.70
3 Pt 0.0009 0.4957 0.3146  4 Pt 2.66-2.97, 3 Ru 2.70-2.77, 4 Rh 2.71-2.80
4 Pt 0.4957 0.0009 0.3146  4 Pt 2.66-2.97, 3 Ru 2.70-2.77, 4 Rh 2.71-2.80
5 Pt 0.5000 0.5000 0.0000  4 Rh 2.70-2.72, 4 Pt 2.73
6 Pt 0.5043 0.9991 0.6854  4 Pt 2.66-2.97, 3 Ru 2.70-2.77, 4 Rh 2.71-2.80
7 Pt 0.9991 0.5043 0.6854  4 Pt 2.66-2.97, 3 Ru 2.70-2.77, 4 Rh 2.71-2.80
8 Rh 0.2076 0.2076 0.9923  1 Ru 2.43, 1 Pt 2.72
9 Rh 0.4873 0.4873 0.6569  2 Rh 2.66-2.76, 2 Ru 2.69, 7 Pt 2.70-2.80
10 Rh 0.5127 0.5127 0.3431  2 Rh 2.66-2.76, 2 Ru 2.69, 7 Pt 2.70-2.80
11 Rh 0.7924 0.7924 0.0077  1 Ru 2.43, 1 Pt 2.72

---

Record 5
First-principles (PBE) data for crystalline RuPtRh2 at its relaxed geometry, as listed in Alexandria via LeMat-Bulk.

E above lowest polymorph: 0 meV/atom
Space-group type: No. 123

Unit cell a=2.7241 b=2.7241 c=7.7891 alpha=90.00 beta=90.00 gamma=90.00
With the nearest neighbours (Å) after each atom.
Element x y z (fractional)
1 Ru 0.0000 0.0000 0.0000  8 Rh 2.68, 4 Ru 2.72
2 Pt 0.0000 0.0000 0.5000  4 Pt 2.72, 8 Rh 2.80
3 Rh 0.5000 0.5000 0.2383  4 Ru 2.68, 4 Rh 2.72, 4 Pt 2.80
4 Rh 0.5000 0.5000 0.7617  4 Ru 2.68, 4 Rh 2.72, 4 Pt 2.80

---

Record 6
First-principles (PBE) data for crystalline RuPtRh2 at its relaxed geometry, as listed in Alexandria via LeMat-Bulk.

E above lowest polymorph: 43 meV/atom
Space-group type: No. 25

Unit cell a=2.7266 b=3.8817 c=5.4595 alpha=90.00 beta=90.00 gamma=90.00
With the nearest neighbours (Å) after each atom.
Element x y z (fractional)
1 Ru 0.0000 0.0000 0.0000  6 Rh 2.67-2.78, 2 Ru 2.73, 4 Pt 2.75
2 Pt 0.5000 0.5000 0.2534  6 Rh 2.69-2.77, 2 Pt 2.73, 4 Ru 2.75
3 Rh 0.0000 0.0000 0.5101  2 Ru 2.67-2.78, 6 Rh 2.73-2.74, 4 Pt 2.75
4 Rh 0.5000 0.5000 0.7613  2 Pt 2.69-2.77, 4 Ru 2.71, 6 Rh 2.73-2.74

---

Record 7
First-principles (PBE) data for crystalline Ru2PtRh6 at its relaxed geometry, as listed in Alexandria via LeMat-Bulk.

E above lowest polymorph: 0 meV/atom
Space-group type: No. 12

Unit cell a=4.7227 b=4.7227 c=8.1658 alpha=106.86 beta=106.86 gamma=48.00
With the nearest neighbours (Å) after each atom.
Element x y z (fractional)
1 Ru 0.1702 0.1702 0.2264  10 Rh 2.68-2.76, 2 Pt 2.75
2 Ru 0.8298 0.8298 0.7736  10 Rh 2.68-2.76, 2 Pt 2.75
3 Pt 0.5000 0.5000 0.0000  8 Rh 2.72-2.73, 4 Ru 2.75
4 Rh 0.1671 0.1671 0.8882  5 Rh 2.71-2.73, 4 Ru 2.71-2.76, 3 Pt 2.72-2.73
5 Rh 0.1695 0.1695 0.5542  3 Ru 2.68-2.69, 9 Rh 2.68-2.77
6 Rh 0.4988 0.4988 0.3329  3 Ru 2.69-2.73, 8 Rh 2.71-2.74, 1 Pt 2.72
7 Rh 0.5012 0.5012 0.6671  3 Ru 2.69-2.73, 8 Rh 2.71-2.74, 1 Pt 2.72
8 Rh 0.8305 0.8305 0.4458  3 Ru 2.68-2.69, 9 Rh 2.68-2.77
9 Rh 0.8329 0.8329 0.1118  5 Rh 2.71-2.73, 4 Ru 2.71-2.76, 3 Pt 2.72-2.73

---

Record 8
First-principles (PBE) data for crystalline Ru2Pt5Rh12 at its relaxed geometry, as listed in Alexandria via LeMat-Bulk.

Space-group type: No. 12

Unit cell a=8.8059 b=8.8059 c=6.6927 alpha=106.78 beta=106.78 gamma=35.64
With the nearest neighbours (Å) after each atom.
Element x y z (fractional)
1 Ru 0.2313 0.7687 0.0000  1 Ru 2.49, 6 Rh 2.64-2.76
2 Ru 0.7687 0.2313 0.0000  1 Ru 2.49, 6 Rh 2.64-2.76
3 Pt 0.0000 0.0000 0.5000  4 Rh 2.52
4 Pt 0.2486 0.2486 0.4971  9 Rh 2.69-2.81, 3 Pt 2.70-2.79
5 Pt 0.3508 0.3508 0.9135  9 Rh 2.65-2.81, 1 Pt 2.79, 2 Ru 2.79
6 Pt 0.6492 0.6492 0.0865  9 Rh 2.65-2.81, 1 Pt 2.79, 2 Ru 2.79
7 Pt 0.7514 0.7514 0.5029  9 Rh 2.69-2.81, 3 Pt 2.70-2.79
8 Rh 0.0509 0.5577 0.2032  7 Rh 2.65-2.88, 4 Pt 2.67-2.81
9 Rh 0.1453 0.1453 0.0788  2 Ru 2.64, 6 Rh 2.65-2.88, 3 Pt 2.70-2.81
10 Rh 0.1524 0.6387 0.6130  4 Pt 2.52-2.69, 5 Rh 2.62-2.77, 1 Ru 2.65
11 Rh 0.3613 0.8476 0.3870  4 Pt 2.52-2.69, 5 Rh 2.62-2.77, 1 Ru 2.65
12 Rh 0.4423 0.9491 0.7968  7 Rh 2.65-2.88, 4 Pt 2.67-2.81
13 Rh 0.4550 0.4550 0.3001  7 Rh 2.64-2.89, 1 Pt 2.65, 2 Ru 2.76
14 Rh 0.5450 0.5450 0.6999  7 Rh 2.64-2.89, 1 Pt 2.65, 2 Ru 2.76
15 Rh 0.5577 0.0509 0.2032  7 Rh 2.65-2.88, 4 Pt 2.67-2.81
16 Rh 0.6387 0.1524 0.6130  4 Pt 2.52-2.69, 5 Rh 2.62-2.77, 1 Ru 2.65
17 Rh 0.8476 0.3613 0.3870  4 Pt 2.52-2.69, 5 Rh 2.62-2.77, 1 Ru 2.65
18 Rh 0.8547 0.8547 0.9212  2 Ru 2.64, 6 Rh 2.65-2.88, 3 Pt 2.70-2.81
19 Rh 0.9491 0.4423 0.7968  7 Rh 2.65-2.88, 4 Pt 2.67-2.81

---

Record 9
First-principles (PBE) data for crystalline Ru2PtRh2 at its relaxed geometry, as listed in Alexandria via LeMat-Bulk.

E above lowest polymorph: 322 meV/atom
Space-group type: No. 127

Unit cell a=7.4140 b=7.4140 c=2.7364 alpha=90.00 beta=90.00 gamma=90.00
With the nearest neighbours (Å) after each atom.
Element x y z (fractional)
1 Ru 0.1731 0.3269 0.0000  6 Rh 2.54-2.61, 2 Ru 2.74
2 Ru 0.3269 0.8269 0.0000  6 Rh 2.54-2.61, 2 Ru 2.74
3 Ru 0.6731 0.1731 0.0000  6 Rh 2.54-2.61, 2 Ru 2.74
4 Ru 0.8269 0.6731 0.0000  6 Rh 2.54-2.61, 2 Ru 2.74
5 Pt 0.0000 0.0000 0.5000  2 Pt 2.74, 4 Rh 2.94, 8 Ru 3.06
6 Pt 0.5000 0.5000 0.5000  2 Pt 2.74, 4 Rh 2.94, 8 Ru 3.06
7 Rh 0.1232 0.6232 0.5000  6 Ru 2.54-2.61, 3 Rh 2.58-2.74
8 Rh 0.3768 0.1232 0.5000  6 Ru 2.54-2.61, 3 Rh 2.58-2.74
9 Rh 0.6232 0.8768 0.5000  6 Ru 2.54-2.61, 3 Rh 2.58-2.74
10 Rh 0.8768 0.3768 0.5000  6 Ru 2.54-2.61, 3 Rh 2.58-2.74

---

Record 10
First-principles (PBE) data for crystalline Ru2Pt3Rh2 at its relaxed geometry, as listed in Alexandria via LeMat-Bulk.

Space-group type: No. 65

Unit cell a=9.6969 b=9.6969 c=2.7150 alpha=90.00 beta=90.00 gamma=155.93
With the nearest neighbours (Å) after each atom.
Element x y z (fractional)
1 Ru 0.1497 0.8503 0.0000  6 Rh 2.69-2.98, 2 Ru 2.71, 5 Pt 2.83-2.84
2 Ru 0.8503 0.1497 0.0000  6 Rh 2.69-2.98, 2 Ru 2.71, 5 Pt 2.83-2.84
3 Pt 0.0000 0.0000 0.0000  10 Pt 2.71-2.81, 2 Ru 2.84
4 Pt 0.4262 0.5738 0.5000  1 Rh 2.59, 7 Pt 2.71-2.81, 4 Ru 2.83
5 Pt 0.5738 0.4262 0.5000  1 Rh 2.59, 7 Pt 2.71-2.81, 4 Ru 2.83
6 Rh 0.2895 0.7105 0.5000  4 Rh 2.52-2.71, 1 Pt 2.59, 4 Ru 2.69
7 Rh 0.7105 0.2895 0.5000  4 Rh 2.52-2.71, 1 Pt 2.59, 4 Ru 2.69

---

Record 11
First-principles (PBE) data for crystalline RuPtRh at its relaxed geometry, as listed in Alexandria via LeMat-Bulk.

E above lowest polymorph: 14 meV/atom
Space-group type: No. 44

Unit cell a=4.7459 b=4.7459 c=4.7459 alpha=146.48 beta=131.82 gamma=59.96
With the nearest neighbours (Å) after each atom.
Element x y z (fractional)
1 Ru 0.0000 0.0000 0.0000  5 Rh 2.71-2.80, 5 Pt 2.73-2.74, 2 Ru 2.74
2 Pt 0.6677 0.6677 0.0000  5 Rh 2.69-2.77, 5 Ru 2.73-2.74, 2 Pt 2.74
3 Rh 0.3408 0.3408 0.0000  5 Pt 2.69-2.77, 5 Ru 2.71-2.80, 2 Rh 2.74

---

Record 12
First-principles (PBE) data for crystalline Ru2Pt5Rh5 at its relaxed geometry, as listed in Alexandria via LeMat-Bulk.

Space-group type: No. 12

Unit cell a=6.1515 b=6.1515 c=8.7075 alpha=115.04 beta=115.04 gamma=36.81
With the nearest neighbours (Å) after each atom.
Element x y z (fractional)
1 Ru 0.0844 0.0844 0.2476  5 Rh 2.70-2.78, 7 Pt 2.74-2.77
2 Ru 0.9156 0.9156 0.7524  5 Rh 2.70-2.78, 7 Pt 2.74-2.77
3 Pt 0.3327 0.3327 0.4988  3 Ru 2.74-2.77, 5 Rh 2.74-2.76, 4 Pt 2.74-2.76
4 Pt 0.4173 0.4173 0.2486  7 Rh 2.73-2.79, 3 Pt 2.74-2.76, 2 Ru 2.76
5 Pt 0.5000 0.5000 0.0000  6 Rh 2.71-2.74, 2 Pt 2.74, 4 Ru 2.74
6 Pt 0.5827 0.5827 0.7514  7 Rh 2.73-2.79, 3 Pt 2.74-2.76, 2 Ru 2.76
7 Pt 0.6673 0.6673 0.5012  3 Ru 2.74-2.77, 5 Rh 2.74-2.76, 4 Pt 2.74-2.76
8 Rh 0.0000 0.0000 0.5000  8 Pt 2.75-2.76, 2 Ru 2.78, 2 Rh 2.80
9 Rh 0.1653 0.1653 0.9983  2 Ru 2.73-2.74, 5 Pt 2.73-2.77, 5 Rh 2.74-2.76
10 Rh 0.2548 0.2548 0.7532  2 Ru 2.70, 6 Pt 2.71-2.79, 4 Rh 2.74-2.80
11 Rh 0.7452 0.7452 0.2468  2 Ru 2.70, 6 Pt 2.71-2.79, 4 Rh 2.74-2.80
12 Rh 0.8347 0.8347 0.0017  2 Ru 2.73-2.74, 5 Pt 2.73-2.77, 5 Rh 2.74-2.76

---

no.,final energy (eV for the cell shown),formation energy (eV/atom)
1,-77.80,0.152
2,-63.06,-0.023
3,-31.81,0.033
4,-75.73,0.221
5,-30.19,-0.043
6,-30.02,0.000
7,-68.63,0.007
8,-133.76,0.169
9,-75.63,0.296
10,-50.75,0.089
11,-22.70,-0.012
12,-85.61,-0.008